[1]
Sr2BIr after structural relaxation, computed with GGA-PBE.

ρ = 5.2 g/cm³
VASP energy = -4.883 eV per atom
Space-group type = No. 122
Calculated volume = 242 Å³ per cell
Density of states at the Fermi level = 0.8464 states/eV/atom

Lattice parameters (Å, degrees): 8.0082 8.0082 8.0082 93.63 93.63 150.87
Fractional coordinates of all 8 atoms:
Sr: 0.3750 0.0705 0.1955
Sr: 0.8205 0.6250 0.6955
Sr: 0.8750 0.1795 0.8045
Sr: 0.9295 0.1250 0.3045
B: 0.0000 0.0000 0.0000
B: 0.7500 0.2500 0.5000
Ir: 0.2500 0.7500 0.5000
Ir: 0.5000 0.5000 0.0000


[2]
SrB2Ir after structural relaxation, computed with GGA-PBE.

E above lowest polymorph = 0 meV per atom
ρ = 6.7 g/cm³
VASP energy = -6.252 eV per atom
Space-group type = No. 141
Calculated volume = 148 Å³ per cell
Density of states at the Fermi level = 0.5169 states/eV/atom

Lattice parameters (Å, degrees): 7.2151 7.2151 7.2151 140.86 140.86 56.55
Fractional coordinates of all 8 atoms:
Sr: 0.3750 0.6250 0.7500
Sr: 0.6250 0.3750 0.2500
B: 0.0000 0.0000 0.0000
B: 0.0000 0.0000 0.5000
B: 0.0000 0.5000 0.0000
B: 0.5000 0.0000 0.5000
Ir: 0.1250 0.8750 0.2500
Ir: 0.8750 0.1250 0.7500


[3]
SrBIr after structural relaxation, computed with GGA-PBE.

E above lowest polymorph = 145 meV per atom
ρ = 7.1 g/cm³
VASP energy = -6.039 eV per atom
Space-group type = No. 139
Calculated volume = 136 Å³ per cell
Density of states at the Fermi level = 0.1947 states/eV/atom

Lattice parameters (Å, degrees): 9.0635 9.0635 9.0635 154.64 154.64 36.17
Fractional coordinates of all 6 atoms:
Sr: 0.1409 0.1409 0.0000
Sr: 0.8591 0.8591 0.0000
B: 0.4461 0.4461 0.0000
B: 0.5539 0.5539 0.0000
Ir: 0.0000 0.5000 0.5000
Ir: 0.5000 0.0000 0.5000